Entry 1:
The following is a DFT calculation (PBE) of a relaxed CsTl2GeTe4 crystal.

It has space group C2/c (No. 15), with a = 13.147 Å, b = 13.346 Å, c = 8.911 Å, α = 90.00°, β = 132.50° and γ = 90.00°. The distinct sites, in fractional coordinates, are Cs at (0.000, 0.000, 0.000), Tl at (0.000, 0.500, 0.000), Tl at (0.250, 0.250, 0.000), Ge at (0.250, 0.250, 0.500), Te at (0.001, 0.268, 0.026) and Te at (0.212, 0.487, 0.463).

The uncorrected formation energy is -0.16 eV/atom.

---

Entry 2:
The following is a DFT calculation (PBE) of a relaxed Ac3Pr7 crystal.

It has space group C2/m (No. 12), with a = 17.471 Å, b = 6.074 Å, c = 7.471 Å, α = 90.00°, β = 102.00° and γ = 90.00°. The distinct sites, in fractional coordinates, are Ac at (0.000, 0.000, 0.000), Ac at (0.209, 0.000, 0.353), Pr at (0.000, 0.000, 0.500), Pr at (0.096, 0.500, 0.301), Pr at (0.100, 0.500, 0.799) and Pr at (0.213, 0.000, 0.858).

The formation energy is 0.04 eV per atom.

---

Entry 3:
The following is a DFT calculation (PBE) of a relaxed LiCd2Ag crystal.

It has space group Fm-3m (No. 225), with a = 6.697 Å, b = 6.697 Å, c = 6.697 Å, α = 90.00°, β = 90.00° and γ = 90.00°. The distinct sites, in fractional coordinates, are Li at (0.000, 0.000, 0.000), Cd at (0.250, 0.250, 0.250) and Ag at (0.000, 0.000, 0.500).

The formation energy is -0.20 eV per atom.

---

Entry 4:
The following is a DFT calculation (PBE) of a relaxed Zn2Sn2Hg crystal.

It has space group P4/mbm (No. 127), with a = 7.275 Å, b = 7.275 Å, c = 4.230 Å, α = 90.00°, β = 90.00° and γ = 90.00°. The distinct sites, in fractional coordinates, are Zn at (0.125, 0.375, 0.000), Sn at (0.177, 0.677, 0.500) and Hg at (0.000, 0.000, 0.000).

The formation energy is 0.10 eV per atom.